Arrangement w

Crystalline NbNiPd4 at its relaxed geometry, computed with PBE.

```
6
Lattice="-3.069 -0.197 -3.352 4.029 -1.470 -1.517 -0.658 -5.292 -1.128" Properties=species:S:1:pos:R:3 pbc="T T T"
Pd 1.019 -2.639 -3.833
Nb 1.685 -3.381 -1.323
Pd 0.676 -5.318 -4.363
Ni 2.014 -0.735 -0.759
Pd -0.718 -4.320 -2.164
Pd -0.374 -1.642 -1.634
```



Arrangement x

Crystalline NbNiPd4 at its relaxed geometry, computed with PBE.

```
12
Lattice="-0.122 0.875 6.671 -0.434 -5.512 0.715 5.558 -0.418 0.156" Properties=species:S:1:pos:R:3 pbc="T T T"
Pd 5.468 0.228 5.079
Pd -0.307 -2.110 5.280
Pd 2.689 0.438 5.004
Pd 2.313 -5.492 2.537
Ni 3.779 -4.010 3.989
Nb 4.063 -1.691 0.296
Pd -0.466 -5.283 2.463
Nb 1.061 -4.239 0.575
Ni 1.223 -1.045 3.553
Pd 2.472 -2.319 5.362
Pd 2.530 -2.736 2.180
Pd 5.309 -2.944 2.262
```



If we sort the structures by their calculated energies, the order from most to least stable is arrangement w, arrangement x.



Arrangement w

Crystalline Nb2Ni2Pd at its relaxed geometry, computed with PBE.

```
10
Lattice="-6.190 1.672 -2.191 1.656 -2.049 -6.243 -1.050 -2.973 0.697" Properties=species:S:1:pos:R:3 pbc="T T T"
Ni -4.373 0.179 -5.823
Pd 0.000 0.000 0.000
Ni -3.666 0.789 -2.159
Nb -2.253 -1.298 -1.453
Pd -2.267 -0.188 -4.217
Ni -0.161 -0.555 -2.611
Nb -5.097 -0.773 -3.495
Ni -0.867 -1.165 -6.275
Nb -3.330 -2.051 -6.284
Nb -0.487 -2.576 -4.242
```



Arrangement x

Crystalline Nb2Ni2Pd at its relaxed geometry, computed with PBE.

```
10
Lattice="7.501 0.000 0.000 0.000 7.501 0.000 0.000 0.000 2.739" Properties=species:S:1:pos:R:3 pbc="T T T"
Nb 1.247 2.503 0.000
Nb 2.503 6.254 0.000
Pd 3.751 3.751 0.000
Nb 4.998 1.247 0.000
Nb 6.254 4.998 0.000
Pd 0.000 0.000 0.000
Ni 6.554 2.804 1.369
Ni 0.947 4.697 1.369
Ni 4.697 6.554 1.369
Ni 2.804 0.947 1.369
```



If we sort the structures by their calculated energies, the order from most to least stable is arrangement w, arrangement x.



Arrangement w

Crystalline NbNiPd5 at its relaxed geometry, computed with PBE.

```
7
Lattice="4.037 0.000 0.000 0.000 4.037 0.000 0.000 0.000 6.826" Properties=species:S:1:pos:R:3 pbc="T T T"
Pd 2.018 2.018 3.413
Pd 2.018 0.000 1.518
Pd 0.000 2.018 5.308
Nb 0.000 0.000 3.413
Ni 2.018 2.018 0.000
Pd 0.000 2.018 1.518
Pd 2.018 0.000 5.308
```



Arrangement x

Crystalline NbNiPd5 at its relaxed geometry, computed with PBE.

```
14
Lattice="-5.219 -1.466 0.283 -0.686 -5.351 0.601 -3.459 -3.300 8.989" Properties=species:S:1:pos:R:3 pbc="T T T"
Pd -4.469 -6.517 3.084
Pd -5.960 -5.390 9.132
Pd -3.426 -4.430 4.693
Nb -4.826 -6.502 7.235
Pd -7.450 -4.252 7.051
Pd -4.894 -3.600 6.789
Pd -3.404 -4.727 0.742
Nb -4.538 -3.615 2.639
Ni 0.000 0.000 0.000
Pd -1.914 -5.865 2.823
Pd -7.731 -6.854 7.471
Pd -5.938 -5.688 5.180
Pd -1.633 -3.263 2.402
Ni -1.729 -1.650 4.495
```



If we sort the structures by their calculated energies, the order from most to least stable is arrangement w, arrangement x.



Arrangement w

Crystalline Nb3NiPd at its relaxed geometry, computed with PBE.

```
5
Lattice="-2.206 2.139 3.407 -0.804 -4.042 2.016 3.942 0.372 2.318" Properties=species:S:1:pos:R:3 pbc="T T T"
Nb -1.103 1.069 1.704
Nb -0.402 -2.021 1.008
Ni 0.000 0.000 0.000
Nb 1.971 0.186 1.159
Pd 0.466 -0.765 3.871
```



Arrangement x

Crystalline Nb3NiPd at its relaxed geometry, computed with PBE.

```
5
Lattice="-0.698 1.992 -4.323 -2.033 -4.076 -1.549 -4.304 1.602 1.433" Properties=species:S:1:pos:R:3 pbc="T T T"
Nb -0.349 0.996 -2.162
Ni -3.518 -0.241 -2.219
Nb -1.016 -2.038 -0.775
Nb -2.152 0.801 0.717
Pd 0.000 0.000 0.000
```



If we sort the structures by their calculated energies, the order from most to least stable is arrangement w, arrangement x.



Arrangement w

Crystalline Nb2NiPd6 at its relaxed geometry, computed with PBE.

```
18
Lattice="3.918 0.000 0.173 0.000 8.378 0.000 -0.369 0.000 8.371" Properties=species:S:1:pos:R:3 pbc="T T T"
Pd -0.064 0.012 1.465
Pd 1.591 1.466 8.444
Pd 3.614 8.366 7.079
Ni -0.184 0.000 4.185
Pd 1.710 4.177 5.736
Pd 3.859 2.848 1.512
Nb -0.061 5.578 1.388
Ni 1.959 4.189 0.086
Pd 1.839 4.202 2.807
Pd -0.309 5.531 7.031
Nb 1.836 1.389 2.884
Pd -0.185 5.655 4.198
Pd 1.715 1.341 5.611
Pd 1.834 7.037 2.932
Pd 1.959 6.913 0.099
Nb 1.714 6.989 5.660
Nb 3.610 2.800 7.155
Pd 3.734 2.724 4.345
```



Arrangement x

Crystalline Nb2NiPd6 at its relaxed geometry, computed with PBE.

```
9
Lattice="-0.857 -2.983 -2.462 5.291 -2.649 -1.819 -0.712 -5.271 3.447" Properties=species:S:1:pos:R:3 pbc="T T T"
Pd -0.464 -7.848 0.109
Pd 3.747 -5.833 -0.611
Nb 1.947 -4.310 -1.829
Pd 4.186 -3.054 -0.943
Pd 0.583 -2.325 -0.573
Pd 3.139 -8.577 -0.261
Nb 1.776 -6.592 0.995
Ni 2.289 -3.960 0.814
Pd -0.024 -5.070 -0.223
```



If we sort the structures by their calculated energies, the order from most to least stable is arrangement w, arrangement x.



Arrangement w

Crystalline PrNbNi2 at its relaxed geometry, computed with PBE.

```
4
Lattice="-1.720 3.019 -2.488 -4.065 1.186 0.578 -0.433 4.939 2.621" Properties=species:S:1:pos:R:3 pbc="T T T"
Ni -4.427 7.414 1.045
Ni -1.789 1.730 -0.334
Pr -3.108 4.572 0.355
Nb 0.000 0.000 0.000
```



Arrangement x

Crystalline PrNbNi2 at its relaxed geometry, computed with PBE.

```
4
Lattice="3.232 0.000 0.000 0.000 3.232 0.000 0.000 0.000 6.927" Properties=species:S:1:pos:R:3 pbc="T T T"
Ni 0.000 0.000 1.268
Nb 1.616 1.616 0.000
Ni 0.000 0.000 5.659
Pr 1.616 1.616 3.464
```



If we sort the structures by their calculated energies, the order from most to least stable is arrangement w, arrangement x.



Arrangement w

Crystalline NbNi6Pt2 at its relaxed geometry, computed with PBE.

```
9
Lattice="-4.050 -1.638 -0.125 -1.937 -1.241 3.975 -3.407 5.357 2.665" Properties=species:S:1:pos:R:3 pbc="T T T"
Ni -1.991 -0.970 1.386
Ni -3.995 -1.909 2.464
Ni -2.757 0.898 2.806
Pt -4.744 -0.143 4.130
Ni -4.849 0.193 1.494
Pt -4.650 2.621 2.385
Ni -4.545 2.285 5.021
Ni -6.637 1.580 3.709
Nb 0.000 0.000 0.000
```



Arrangement x

Crystalline NbNi6Pt2 at its relaxed geometry, computed with PBE.

```
9
Lattice="5.920 -0.025 -0.015 0.031 4.834 0.007 0.031 2.414 4.188" Properties=species:S:1:pos:R:3 pbc="T T T"
Ni 2.059 5.993 3.469
Ni 3.945 2.400 2.742
Ni 2.037 3.649 3.465
Ni 3.945 3.573 0.714
Ni 2.037 4.823 1.437
Pt 0.504 2.413 1.396
Nb 0.000 0.000 0.000
Pt 5.478 4.810 2.783
Ni 3.923 1.229 0.711
```



If we sort the structures by their calculated energies, the order from most to least stable is arrangement w, arrangement x.



Arrangement w

Crystalline NbNiPt3 at its relaxed geometry, computed with PBE.

```
20
Lattice="3.910 0.000 0.000 0.000 5.534 0.000 0.000 0.000 13.995" Properties=species:S:1:pos:R:3 pbc="T T T"
Pt 2.933 4.822 6.317
Pt 0.978 3.464 10.461
Ni 0.978 0.706 13.217
Pt 0.978 3.479 13.314
Nb 0.978 0.720 4.980
Nb 2.933 2.047 11.977
Pt 2.933 2.070 3.535
Pt 0.978 0.712 7.679
Pt 2.933 2.055 0.681
Pt 0.978 0.654 2.049
Pt 2.933 2.113 9.047
Pt 0.978 0.697 10.532
Pt 2.933 4.880 11.946
Ni 2.933 2.061 6.219
Nb 2.933 4.814 9.015
Nb 0.978 3.488 2.018
Ni 0.978 3.473 7.776
Pt 2.933 4.837 3.463
Pt 0.978 3.421 4.948
Ni 2.933 4.828 0.778
```



Arrangement x

Crystalline NbNiPt3 at its relaxed geometry, computed with PBE.

```
5
Lattice="-4.011 -1.995 -0.424 1.995 -4.033 0.109 -0.428 -0.091 4.479" Properties=species:S:1:pos:R:3 pbc="T T T"
Pt -0.214 -0.045 2.239
Ni 0.000 0.000 0.000
Nb -1.223 -3.059 2.082
Pt 0.997 -2.016 0.055
Pt -2.006 -0.998 -0.212
```



Arrangement y

Crystalline NbNiPt3 at its relaxed geometry, computed with PBE.

```
5
Lattice="4.838 0.000 0.000 0.000 4.838 0.000 0.000 0.000 4.838" Properties=species:S:1:pos:R:3 pbc="T T T"
Pt 0.000 0.000 2.419
Nb 0.000 0.000 0.000
Pt 2.419 0.000 0.000
Ni 2.419 2.419 2.419
Pt 0.000 2.419 0.000
```



If we sort the structures by their calculated energies, the order from most to least stable is arrangement w, arrangement x, arrangement y.